(1)
# PBE Tm3Sc, relaxed
# V = 114.4 Å³/f.u.
# total moment = 0.000 Bohr magnetons per cell
# E above lowest polymorph = 0.035 eV/atom
# density = 8.01 g cm⁻³
# DFT total energy = -4.89 eV/atom
data_Tm3Sc
_space_group_name_H-M_alt 'I 4/m m m'
_space_group_IT_number 139
_space_group_name_Hall '-I 4 2'
_cell_length_a 4.8620
_cell_length_b 4.8620
_cell_length_c 9.6747
_cell_angle_alpha 90.00
_cell_angle_beta 90.00
_cell_angle_gamma 90.00
loop_
_atom_site_label
_atom_site_type_symbol
_atom_site_fract_x
_atom_site_fract_y
_atom_site_fract_z
_atom_site_occupancy
Tm1 Tm 0.0000 0.0000 0.0000 1
Tm2 Tm 0.0000 0.5000 0.2500 1
Sc1 Sc 0.0000 0.0000 0.5000 1



(2)
# PBE NdSc2Rh, relaxed
# V = 99.7 Å³/f.u.
# total moment = 0.000 Bohr magnetons per cell
# E above lowest polymorph = 0.211 eV/atom
# density = 5.61 g cm⁻³
# DFT total energy = -6.47 eV/atom
data_NdSc2Rh
_space_group_name_H-M_alt 'R -3 m'
_space_group_IT_number 166
_space_group_name_Hall '-R 3 2"'
_cell_length_a 4.3941
_cell_length_b 4.3941
_cell_length_c 17.8954
_cell_angle_alpha 90.00
_cell_angle_beta 90.00
_cell_angle_gamma 120.00
loop_
_atom_site_label
_atom_site_type_symbol
_atom_site_fract_x
_atom_site_fract_y
_atom_site_fract_z
_atom_site_occupancy
Nd1 Nd 0.0000 0.0000 0.0000 1
Sc1 Sc 0.0000 0.0000 0.2133 1
Rh1 Rh 0.0000 0.0000 0.5000 1



(3)
# PBE Li4HoPu3Se8, relaxed
# V = 377.6 Å³/f.u.
# total moment = 45.000 Bohr magnetons per cell
# density = 6.84 g cm⁻³
# DFT total energy = -6.66 eV/atom
# uncorrected formation energy = -1468 meV per atom
data_Li4HoPu3Se8
_space_group_name_H-M_alt 'R -3 m'
_space_group_IT_number 166
_space_group_name_Hall '-R 3 2"'
_cell_length_a 8.2266
_cell_length_b 8.2266
_cell_length_c 19.3267
_cell_angle_alpha 90.00
_cell_angle_beta 90.00
_cell_angle_gamma 120.00
loop_
_atom_site_label
_atom_site_type_symbol
_atom_site_fract_x
_atom_site_fract_y
_atom_site_fract_z
_atom_site_occupancy
Li1 Li 0.0000 0.0000 0.0000 1
Li2 Li 0.0000 0.5000 0.0000 1
Ho1 Ho 0.0000 0.0000 0.5000 1
Pu1 Pu 0.0000 0.5000 0.5000 1
Se1 Se 0.0000 0.0000 0.2510 1
Se2 Se 0.0037 0.5018 0.2515 1